[1]
First-principles (PBEsol) data for a relaxed CaRePb2 crystal, as listed in Alexandria.

The structure in POSCAR format:
```
CaRePb2
1.0
3.439 0.000 0.000
0.000 3.439 0.000
0.000 0.000 7.623
Ca Pb Re
1 2 1
Direct
0.500 0.500 0.500 Ca
0.000 0.000 0.791 Pb
0.000 0.000 0.209 Pb
0.500 0.500 0.000 Re
```

Calculated values
mass density	11.801	g cm⁻³
SG	P4/mmm (123)
E above lowest polymorph	0.000	eV/atom
formation energy from the elements	0.337	eV per atom
Fermi-level density of states	3.0	states/eV per cell
raw total energy	-5.529	eV/atom


[2]
First-principles (PBEsol) data for a relaxed TlNiS2N crystal, as listed in Alexandria.

The structure in POSCAR format:
```
TlNiS2N
1.0
-3.125 2.660 -0.196
-1.447 -1.353 4.685
2.968 3.632 1.966
Ni Tl S N
1 1 2 1
Direct
0.500 0.500 0.500 Ni
0.000 0.000 0.000 Tl
0.000 0.000 0.500 S
0.000 0.500 0.000 S
0.500 0.000 0.000 N
```

Calculated values
mass density	5.331	g cm⁻³
SG	P4/mmm (123)
energy relative to the elements, uncorrected	1.73	eV per atom
Fermi-level density of states	6.4	states/eV per cell
raw total energy	-3.484	eV/atom


[3]
First-principles (PBEsol) data for a relaxed GeBrF2 crystal, as listed in Alexandria.

The structure in POSCAR format:
```
GeBrF2
1.0
-2.085 -1.882 -0.611
-0.213 -2.446 1.497
-6.502 2.882 6.545
Ge Br F
1 1 2
Direct
0.000 0.000 0.000 Ge
0.500 0.500 0.500 Br
0.938 0.938 0.186 F
0.062 0.062 0.814 F
```

Calculated values
mass density	4.642	g cm⁻³
SG	R-3m (166)
energy relative to the elements, uncorrected	-0.97	eV per atom
Fermi-level density of states	1.3	states/eV per cell
raw total energy	-3.633	eV/atom


[4]
First-principles (PBEsol) data for a relaxed KV4O8 crystal, as listed in Alexandria.

The structure in POSCAR format:
```
KV4O8
1.0
-0.527 -0.460 2.759
-6.215 -3.608 -0.320
3.285 -6.314 1.043
O K V
8 1 4
Direct
0.803 0.352 0.043 O
0.845 0.957 0.352 O
0.155 0.043 0.648 O
0.197 0.648 0.957 O
0.836 0.705 0.623 O
0.164 0.295 0.377 O
0.459 0.377 0.705 O
0.541 0.623 0.295 O
0.500 0.000 0.000 K
0.355 0.816 0.473 V
0.645 0.184 0.527 V
0.171 0.473 0.184 V
0.829 0.527 0.816 V
```

Calculated values
mass density	4.351	g cm⁻³
SG	I4/m (87)
energy relative to the elements, uncorrected	-2.37	eV per atom
Fermi-level density of states	4.2	states/eV per cell
raw total energy	-8.653	eV/atom


[5]
First-principles (PBEsol) data for a relaxed CdNiAu2 crystal, as listed in Alexandria.

The structure in POSCAR format:
```
CdNiAu2
1.0
-2.667 2.934 0.515
-2.665 -2.040 -2.173
1.348 -2.221 4.110
Ni Au Cd
1 2 1
Direct
0.750 0.250 0.500 Ni
0.000 0.000 0.000 Au
0.250 0.750 0.500 Au
0.500 0.500 0.000 Cd
```

Calculated values
mass density	14.834	g cm⁻³
SG	I-4m2 (119)
formation energy from the elements	-0.039	eV per atom
Fermi-level density of states	1.5	states/eV per cell
raw total energy	-3.840	eV/atom


[6]
First-principles (PBEsol) data for a relaxed ScRhAu crystal, as listed in Alexandria.

The structure in POSCAR format:
```
ScRhAu
1.0
-1.162 -1.172 2.854
1.945 -2.646 -0.295
2.933 4.102 0.974
Au Rh Sc
1 1 1
Direct
0.999 0.999 0.998 Au
0.677 0.677 0.354 Rh
0.324 0.324 0.647 Sc
```

Calculated values
mass density	11.508	g cm⁻³
SG	I4mm (107)
formation energy from the elements	-0.648	eV per atom
Fermi-level density of states	1.7	states/eV per cell
raw total energy	-6.870	eV/atom


[7]
First-principles (PBEsol) data for a relaxed TeRuSeI2 crystal, as listed in Alexandria.

The structure in POSCAR format:
```
TeRuSeI2
1.0
-4.560 2.103 0.027
-2.170 -4.717 0.847
0.380 0.758 5.192
I Ru Te Se
2 1 1 1
Direct
0.000 0.000 0.500 I
0.000 0.500 0.000 I
0.000 0.000 0.000 Ru
0.500 0.000 0.000 Te
0.500 0.500 0.500 Se
```

Calculated values
mass density	6.708	g cm⁻³
SG	P4/mmm (123)
energy relative to the elements, uncorrected	0.56	eV per atom
Fermi-level density of states	5.4	states/eV per cell
raw total energy	-3.660	eV/atom


[8]
First-principles (PBEsol) data for a relaxed CsW2O6 crystal, as listed in Alexandria.

The structure in POSCAR format:
```
CsW2O6
1.0
7.317 0.000 0.000
3.658 6.336 0.000
3.658 2.112 5.974
Cs W O
2 4 12
Direct
0.500 0.500 0.500 Cs
0.750 0.750 0.750 Cs
0.125 0.125 0.125 W
0.625 0.125 0.125 W
0.125 0.125 0.625 W
0.125 0.625 0.125 W
0.435 0.065 0.435 O
0.185 0.815 0.185 O
0.435 0.435 0.065 O
0.435 0.065 0.065 O
0.065 0.435 0.435 O
0.065 0.065 0.435 O
0.065 0.435 0.065 O
0.185 0.815 0.815 O
0.815 0.185 0.185 O
0.815 0.185 0.815 O
0.185 0.185 0.815 O
0.815 0.815 0.185 O
```

Calculated values
mass density	7.154	g cm⁻³
SG	Fd-3m (227)
energy relative to the elements, uncorrected	-2.17	eV per atom
Fermi-level density of states	10.5	states/eV per cell
raw total energy	-8.840	eV/atom


[9]
First-principles (PBEsol) data for a relaxed PO2F2 crystal, as listed in Alexandria.

The structure in POSCAR format:
```
PO2F2
1.0
-0.048 2.668 -2.247
-3.430 -0.445 -0.456
-0.751 2.604 3.108
P O F
1 2 2
Direct
0.500 0.500 0.500 P
0.000 0.500 0.000 O
0.500 0.000 0.000 O
0.000 0.000 0.000 F
0.000 0.000 0.500 F
```

Calculated values
mass density	3.340	g cm⁻³
SG	P4/mmm (123)
energy relative to the elements, uncorrected	0.86	eV per atom
Fermi-level density of states	1.6	states/eV per cell
raw total energy	-3.166	eV/atom


[10]
First-principles (PBEsol) data for a relaxed MgTc2Mo crystal, as listed in Alexandria.

The structure in POSCAR format:
```
MgTc2Mo
1.0
-3.203 -1.274 -1.241
0.888 -3.360 1.157
-0.695 3.172 3.946
Mg Mo Tc
1 1 2
Direct
0.500 0.500 0.000 Mg
0.250 0.750 0.500 Mo
0.000 0.000 0.000 Tc
0.750 0.250 0.500 Tc
```

Calculated values
mass density	8.883	g cm⁻³
SG	I-4m2 (119)
formation energy from the elements	0.352	eV per atom
Fermi-level density of states	3.8	states/eV per cell
raw total energy	-8.652	eV/atom


[11]
First-principles (PBEsol) data for a relaxed Na2Ti2O5 crystal, as listed in Alexandria.

The structure in POSCAR format:
```
Na2Ti2O5
1.0
5.270 0.000 0.000
0.000 8.762 0.000
0.000 0.000 10.228
Na Ti O
8 8 20
Direct
0.990 0.999 0.490 Na
0.990 0.499 0.010 Na
0.947 0.740 0.762 Na
0.947 0.240 0.738 Na
0.053 0.240 0.238 Na
0.053 0.740 0.262 Na
0.010 0.499 0.510 Na
0.010 0.999 0.990 Na
0.568 0.963 0.233 Ti
0.568 0.463 0.267 Ti
0.527 0.748 0.483 Ti
0.527 0.248 0.017 Ti
0.473 0.748 0.983 Ti
0.473 0.248 0.517 Ti
0.432 0.963 0.733 Ti
0.432 0.463 0.767 Ti
0.888 0.998 0.254 O
0.888 0.498 0.246 O
0.856 0.746 0.483 O
0.856 0.246 0.017 O
0.573 0.769 0.156 O
0.573 0.269 0.344 O
0.604 0.586 0.887 O
0.604 0.086 0.613 O
0.593 0.917 0.891 O
0.593 0.417 0.609 O
0.407 0.917 0.391 O
0.407 0.417 0.109 O
0.396 0.086 0.113 O
0.396 0.586 0.387 O
0.427 0.269 0.844 O
0.427 0.769 0.656 O
0.144 0.246 0.517 O
0.144 0.746 0.983 O
0.112 0.498 0.746 O
0.112 0.998 0.754 O
```

Calculated values
mass density	3.118	g cm⁻³
SG	Pca2_1 (29)
energy relative to the elements, uncorrected	-2.59	eV per atom
Fermi-level density of states	0.0	states/eV per cell
raw total energy	-7.667	eV/atom


[12]
First-principles (PBEsol) data for a relaxed CaYTe2 crystal, as listed in Alexandria.

The structure in POSCAR format:
```
CaYTe2
1.0
4.356 0.000 0.000
0.000 4.356 0.000
0.000 0.000 6.149
Y Ca Te
1 1 2
Direct
0.000 0.000 0.375 Y
0.500 0.500 0.875 Ca
0.000 0.000 0.875 Te
0.500 0.500 0.375 Te
```

Calculated values
mass density	5.469	g cm⁻³
SG	P4/mmm (123)
E above lowest polymorph	0.006	eV/atom
energy relative to the elements, uncorrected	-1.50	eV per atom
Fermi-level density of states	1.3	states/eV per cell
raw total energy	-5.502	eV/atom